Computed, not measured: Mn2GeHRh after structural relaxation at the GGA-PBE level of DFT.

Values from the calculation:
- Excess energy over the best structure of this formula in the dataset: 813 meV/atom
- Uncorrected energy: -30.5 eV per cell

```
data_Mn2GeHRh
_space_group_name_H-M_alt 'P 4/m m m'
_space_group_IT_number 123
_space_group_name_Hall '-P 4 2'
_cell_length_a 4.777
_cell_length_b 4.777
_cell_length_c 3.212
_cell_angle_alpha 90.00
_cell_angle_beta 90.00
_cell_angle_gamma 90.00
loop_
_atom_site_label
_atom_site_fract_x
_atom_site_fract_y
_atom_site_fract_z
Mn1 0.000 0.500 0.000
Ge1 0.000 0.000 0.000
H1 0.000 0.000 0.500
Rh1 0.500 0.500 0.500
```